(1)
This record from OQMD via LeMat-Bulk describes crystalline LuTePbAuS2 at its relaxed geometry. The functional is PBE.

Lattice parameters (Å, degrees): 7.3256 7.3256 11.1751 90.00 90.00 148.01
Last column: nearest neighbours and their distance in Å.
Atoms (fractional coordinates):
Lu (0.0000, 0.0000, 0.0000)  4 S 2.72
Lu (0.0000, 0.0000, 0.5000)  4 S 2.72
Te (0.0945, 0.9055, 0.7500)  2 Au 3.02, 2 Lu 3.09, 2 Pb 3.15
Te (0.9055, 0.0945, 0.2500)  2 Au 3.02, 2 Lu 3.09, 2 Pb 3.15
Pb (0.2340, 0.7660, 0.2500)  2 Au 3.12, 2 Te 3.15, 4 S 3.41
Pb (0.7660, 0.2340, 0.7500)  2 Au 3.12, 2 Te 3.15, 4 S 3.41
Au (0.4347, 0.5653, 0.7500)  2 S 2.41
Au (0.5653, 0.4347, 0.2500)  2 S 2.41
S (0.3763, 0.6237, 0.5469)  1 Au 2.41
S (0.3763, 0.6237, 0.9531)  1 Au 2.41
S (0.6237, 0.3763, 0.0469)  1 Au 2.41
S (0.6237, 0.3763, 0.4531)  1 Au 2.41

Space-group type   Cmcm, No. 63
Energy   -55.83 eV per cell

(2)
This record from OQMD via LeMat-Bulk describes crystalline LuPbAuSe3 at its relaxed geometry. The functional is PBE.

Lattice parameters (Å, degrees): 7.2163 7.2163 10.4999 90.00 90.00 147.62
Last column: nearest neighbours and their distance in Å.
Atoms (fractional coordinates):
Lu (0.0000, 0.0000, 0.0000)  6 Se 2.86-2.90
Lu (0.0000, 0.0000, 0.5000)  6 Se 2.86-2.90
Pb (0.2345, 0.7655, 0.7500)  8 Se 3.17-3.52, 2 Au 3.36
Pb (0.7655, 0.2345, 0.2500)  8 Se 3.17-3.52, 2 Au 3.36
Au (0.4599, 0.5401, 0.2500)  4 Se 2.60-2.69
Au (0.5401, 0.4599, 0.7500)  4 Se 2.60-2.69
Se (0.0885, 0.9115, 0.2500)  2 Au 2.69, 2 Lu 2.90
Se (0.3572, 0.6428, 0.0433)  1 Au 2.60, 2 Lu 2.86
Se (0.3572, 0.6428, 0.4567)  1 Au 2.60, 2 Lu 2.86
Se (0.6428, 0.3572, 0.5433)  1 Au 2.60, 2 Lu 2.86
Se (0.6428, 0.3572, 0.9567)  1 Au 2.60, 2 Lu 2.86
Se (0.9115, 0.0885, 0.7500)  2 Au 2.69, 2 Lu 2.90

Distance to the lowest polymorph of the same formula   0.10 eV per formula unit
Space-group type   Cmcm, No. 63
Energy   -54.63 eV per cell

(3)
This record from OQMD via LeMat-Bulk describes crystalline LuPbAuSe3 at its relaxed geometry. The functional is PBE.

Lattice parameters (Å, degrees): 10.8701 4.0903 13.3745 90.00 90.00 90.00
Last column: nearest neighbours and their distance in Å.
Atoms (fractional coordinates):
Lu (0.0260, 0.2500, 0.2408)  6 Se 2.84-2.95
Lu (0.4740, 0.7500, 0.7408)  6 Se 2.84-2.95
Lu (0.5260, 0.2500, 0.2592)  6 Se 2.84-2.95
Lu (0.9740, 0.7500, 0.7592)  6 Se 2.84-2.95
Pb (0.2229, 0.7500, 0.5041)  7 Se 3.10-3.35, 2 Au 3.30
Pb (0.2771, 0.2500, 0.0041)  7 Se 3.10-3.35, 2 Au 3.30
Pb (0.7229, 0.7500, 0.9959)  7 Se 3.10-3.35, 2 Au 3.30
Pb (0.7771, 0.2500, 0.4959)  7 Se 3.10-3.35, 2 Au 3.30
Au (0.2412, 0.2500, 0.6974)  4 Se 2.53-2.75
Au (0.2588, 0.7500, 0.1974)  4 Se 2.53-2.75
Au (0.7412, 0.2500, 0.8026)  4 Se 2.53-2.75
Au (0.7588, 0.7500, 0.3026)  4 Se 2.53-2.75
Se (0.0231, 0.2500, 0.6169)  1 Au 2.60, 2 Lu 2.84
Se (0.0612, 0.7500, 0.0968)  1 Au 2.53, 2 Lu 2.84
Se (0.2287, 0.7500, 0.8346)  2 Au 2.75, 2 Lu 2.95
Se (0.2713, 0.2500, 0.3346)  2 Au 2.75, 2 Lu 2.95
Se (0.4388, 0.2500, 0.5968)  1 Au 2.53, 2 Lu 2.84
Se (0.4769, 0.7500, 0.1169)  1 Au 2.60, 2 Lu 2.84
Se (0.5231, 0.2500, 0.8831)  1 Au 2.60, 2 Lu 2.84
Se (0.5612, 0.7500, 0.4032)  1 Au 2.53, 2 Lu 2.84
Se (0.7287, 0.7500, 0.6654)  2 Au 2.75, 2 Lu 2.95
Se (0.7713, 0.2500, 0.1654)  2 Au 2.75, 2 Lu 2.95
Se (0.9388, 0.2500, 0.9032)  1 Au 2.53, 2 Lu 2.84
Se (0.9769, 0.7500, 0.3831)  1 Au 2.60, 2 Lu 2.84

Distance to the lowest polymorph of the same formula   0.11 eV per formula unit
Space-group type   Pnma, No. 62
Energy   -109.25 eV per cell

(4)
This record from OQMD via LeMat-Bulk describes crystalline LuPbAuSe3 at its relaxed geometry. The functional is PBE.

Lattice parameters (Å, degrees): 7.9767 4.0537 9.7811 90.00 105.31 90.00
Last column: nearest neighbours and their distance in Å.
Atoms (fractional coordinates):
Lu (0.1803, 0.2500, 0.1656)  6 Se 2.83-2.86
Lu (0.8197, 0.7500, 0.8344)  6 Se 2.83-2.86
Pb (0.2763, 0.7500, 0.7162)  6 Se 3.14-3.17, 1 Au 3.47
Pb (0.7237, 0.2500, 0.2838)  6 Se 3.14-3.17, 1 Au 3.47
Au (0.4017, 0.7500, 0.4026)  3 Se 2.59-2.72
Au (0.5983, 0.2500, 0.5974)  3 Se 2.59-2.72
Se (0.0749, 0.2500, 0.8646)  3 Lu 2.83-2.84, 2 Pb 3.17
Se (0.2044, 0.2500, 0.4624)  2 Au 2.72, 1 Lu 2.86
Se (0.4224, 0.7500, 0.1426)  1 Au 2.59, 2 Lu 2.85
Se (0.5776, 0.2500, 0.8574)  1 Au 2.59, 2 Lu 2.85
Se (0.7956, 0.7500, 0.5376)  2 Au 2.72, 1 Lu 2.86
Se (0.9251, 0.7500, 0.1354)  3 Lu 2.83-2.84, 2 Pb 3.17

Distance to the lowest polymorph of the same formula   0.00 eV per formula unit
Space-group type   P2_1/m, No. 11
Energy   -54.84 eV per cell

(5)
This record from OQMD via LeMat-Bulk describes crystalline LuTePbAuSe2 at its relaxed geometry. The functional is PBE.

Lattice parameters (Å, degrees): 7.4428 7.4428 10.9165 90.00 90.00 148.21
Last column: nearest neighbours and their distance in Å.
Atoms (fractional coordinates):
Lu (0.0000, 0.0000, 0.0000)  4 Se 2.86, 2 Te 3.09
Lu (0.0000, 0.0000, 0.5000)  4 Se 2.86, 2 Te 3.09
Te (0.1009, 0.8991, 0.7500)  2 Au 2.81, 2 Lu 3.09
Te (0.8991, 0.1009, 0.2500)  2 Au 2.81, 2 Lu 3.09
Pb (0.2102, 0.7898, 0.2500)  4 Se 3.19, 2 Au 3.24, 2 Te 3.39
Pb (0.7898, 0.2102, 0.7500)  4 Se 3.19, 2 Au 3.24, 2 Te 3.39
Au (0.4653, 0.5347, 0.7500)  2 Se 2.63, 2 Te 2.81
Au (0.5347, 0.4653, 0.2500)  2 Se 2.63, 2 Te 2.81
Se (0.3647, 0.6353, 0.5481)  1 Au 2.63, 2 Lu 2.86
Se (0.3647, 0.6353, 0.9519)  1 Au 2.63, 2 Lu 2.86
Se (0.6353, 0.3647, 0.0481)  1 Au 2.63, 2 Lu 2.86
Se (0.6353, 0.3647, 0.4519)  1 Au 2.63, 2 Lu 2.86

Space-group type   Cmcm, No. 63
Energy   -53.06 eV per cell

(6)
This record from OQMD via LeMat-Bulk describes crystalline LuTe2PbAuSe at its relaxed geometry. The functional is PBE.

Lattice parameters (Å, degrees): 7.7191 7.7191 10.4966 90.00 90.00 148.27
Last column: nearest neighbours and their distance in Å.
Atoms (fractional coordinates):
Lu (0.0000, 0.0000, 0.0000)  2 Se 2.89, 4 Te 3.09
Lu (0.0000, 0.0000, 0.5000)  2 Se 2.89, 4 Te 3.09
Te (0.3520, 0.6480, 0.5478)  1 Au 2.77, 2 Lu 3.09
Te (0.3520, 0.6480, 0.9522)  1 Au 2.77, 2 Lu 3.09
Te (0.6480, 0.3520, 0.0478)  1 Au 2.77, 2 Lu 3.09
Te (0.6480, 0.3520, 0.4522)  1 Au 2.77, 2 Lu 3.09
Pb (0.2498, 0.7502, 0.2500)  2 Se 3.27, 6 Te 3.35-3.48
Pb (0.7502, 0.2498, 0.7500)  2 Se 3.27, 6 Te 3.35-3.48
Au (0.4714, 0.5286, 0.7500)  2 Se 2.68, 2 Te 2.77
Au (0.5286, 0.4714, 0.2500)  2 Se 2.68, 2 Te 2.77
Se (0.0822, 0.9178, 0.7500)  2 Au 2.68, 2 Lu 2.89
Se (0.9178, 0.0822, 0.2500)  2 Au 2.68, 2 Lu 2.89

Space-group type   Cmcm, No. 63
Energy   -51.28 eV per cell

(7)
This record from OQMD via LeMat-Bulk describes crystalline LuPd2Au at its relaxed geometry. The functional is PBE.

Lattice parameters (Å, degrees): 5.0822 5.0822 5.0822 60.00 60.00 60.00
Last column: nearest neighbours and their distance in Å.
Atoms (fractional coordinates):
Lu (0.0000, 0.0000, 0.0000)  4 Pd 3.11, 4 Au 3.11
Pd (0.5000, 0.5000, 0.5000)  4 Pd 3.11, 4 Au 3.11
Pd (0.7500, 0.7500, 0.7500)  4 Pd 3.11, 4 Lu 3.11
Au (0.2500, 0.2500, 0.2500)  4 Pd 3.11, 4 Lu 3.11

ΔE_f   -425 meV/atom
Space-group type   F-43m, No. 216
Energy   -19.84 eV per cell

(8)
This record from OQMD via LeMat-Bulk describes crystalline PmLuAu at its relaxed geometry. The functional is PBE.

Lattice parameters (Å, degrees): 4.8478 4.8478 4.8478 60.00 60.00 60.00
Last column: nearest neighbours and their distance in Å.
Atoms (fractional coordinates):
Pm (0.0000, 0.0000, 0.0000)  4 Lu 2.97
Lu (0.7500, 0.7500, 0.7500)  4 Au 2.97, 4 Pm 2.97
Au (0.5000, 0.5000, 0.5000)  4 Lu 2.97

ΔE_f   55 meV/atom
Space-group type   F-43m, No. 216
Energy   -12.37 eV per cell

(9)
This record from OQMD via LeMat-Bulk describes crystalline PrLuAu at its relaxed geometry. The functional is PBE.

Lattice parameters (Å, degrees): 4.8893 4.8893 4.8893 60.00 60.00 60.00
Last column: nearest neighbours and their distance in Å.
Atoms (fractional coordinates):
Pr (0.0000, 0.0000, 0.0000)  4 Lu 2.99
Lu (0.7500, 0.7500, 0.7500)  4 Pr 2.99, 4 Au 2.99
Au (0.5000, 0.5000, 0.5000)  4 Lu 2.99

ΔE_f   38 meV/atom
Space-group type   F-43m, No. 216
Energy   -12.45 eV per cell

(10)
This record from OQMD via LeMat-Bulk describes crystalline Lu2PtAu at its relaxed geometry. The functional is PBE.

Lattice parameters (Å, degrees): 4.7834 4.7834 4.7834 60.00 60.00 60.00
Last column: nearest neighbours and their distance in Å.
Atoms (fractional coordinates):
Lu (0.0000, 0.0000, 0.0000)  4 Au 2.93, 4 Lu 2.93
Lu (0.2500, 0.2500, 0.2500)  4 Pt 2.93, 4 Lu 2.93
Pt (0.5000, 0.5000, 0.5000)  4 Au 2.93, 4 Lu 2.93
Au (0.7500, 0.7500, 0.7500)  4 Pt 2.93, 4 Lu 2.93

ΔE_f   -709 meV/atom
Space-group type   F-43m, No. 216
Energy   -21.21 eV per cell

> energy of number 1 (LuTePbAuS2)?

-55.83 eV per cell

> Which of these has the highest energy?

PmLuAu

> Number 5 is which compound?

LuTePbAuSe2

> Among the records above, which one has the highest energy?

PmLuAu